Compound: DyEr2Ni2
Source: Alexandria
Functional: PBE
Structure: relaxed

abc: 3.6247 29.9461 4.1821
angles: 90.00 90.00 90.00
Last column: nearest neighbours and their distance in Å.
Space group Cmcm (No. 63)
Symmetry-distinct sites (fractional):
Dy  0.0000  0.1225  0.2500  5 Ni 2.84-2.91
Er  0.0000  0.2141  0.7500  2 Ni 2.78
Er  0.0000  0.4529  0.2500  7 Ni 2.83-2.90
Ni  0.0000  0.0254  0.2500  2 Ni 2.59, 6 Er 2.83-2.84
Ni  0.0000  0.3562  0.2500  3 Er 2.78-2.90, 4 Dy 2.84

For the energy above the most stable polymorph in this dataset, the calculation gives 0 meV per atom. The value obtained for the formation energy is -0.3037 eV/atom.

---

Compound: Dy2Er6Ni
Source: Alexandria
Functional: PBE
Structure: relaxed

abc: 9.0490 3.5396 9.5680
angles: 90.00 118.15 90.00
Last column: nearest neighbours and their distance in Å.
Space group P2/m (No. 10)
Symmetry-distinct sites (fractional):
Dy  0.1721  0.0000  0.3442  10 Er 3.48-3.80, 2 Dy 3.54
Er  0.1659  0.5000  0.6709  4 Er 3.07-3.34, 1 Ni 3.17
Er  0.2705  0.0000  0.9999  2 Ni 2.73
Er  0.4951  0.5000  0.3288  4 Er 3.07-3.34, 1 Ni 3.17
Ni  0.5000  0.5000  0.0000  4 Er 2.73

The value obtained for the formation energy is 0.1162 eV/atom.

---

Compound: DyErNi4
Source: Alexandria
Functional: PBE
Structure: relaxed

abc: 7.1422 7.1422 7.1422
angles: 90.00 90.00 90.00
Last column: nearest neighbours and their distance in Å.
Space group F-43m (No. 216)
Symmetry-distinct sites (fractional):
Dy  0.0000  0.0000  0.0000  12 Ni 2.96, 4 Er 3.09
Er  0.2500  0.2500  0.2500  12 Ni 2.96, 4 Dy 3.09
Ni  0.1248  0.1248  0.6248  6 Ni 2.52-2.53

The value obtained for the formation energy is -0.4646 eV/atom.

---

Compound: Dy4ErNi4
Source: Alexandria
Functional: PBE
Structure: relaxed

abc: 8.4745 8.4745 5.6194
angles: 90.00 90.00 90.00
Last column: nearest neighbours and their distance in Å.
Space group P4_2/n (No. 86, origin choice 2)
Symmetry-distinct sites (fractional):
Dy  0.0633  0.6656  0.1488  5 Ni 2.68-2.96
Er  0.2500  0.2500  0.2500  4 Ni 2.65
Ni  0.0227  0.6185  0.6341  1 Ni 2.54, 1 Er 2.65, 3 Dy 2.68-2.80

The value obtained for the formation energy is -0.2703 eV/atom.

---

Compound: DyErNi
Source: Alexandria
Functional: PBE
Structure: relaxed

abc: 13.5382 3.8780 5.6459
angles: 90.00 100.71 90.00
Last column: nearest neighbours and their distance in Å.
Space group C2/m (No. 12)
Symmetry-distinct sites (fractional):
Dy  0.1533  0.0000  0.3155  4 Ni 2.79-3.07
Er  0.0824  0.5000  0.7834  3 Ni 2.77-2.91
Ni  0.2311  0.0000  0.8625  2 Ni 2.48, 2 Er 2.77

For the energy above the most stable polymorph in this dataset, the calculation gives 0 meV per atom. The value obtained for the formation energy is -0.3021 eV/atom.

---

Compound: DyErNi
Source: Alexandria
Functional: PBE
Structure: relaxed

abc: 3.9120 3.9120 6.0700
angles: 90.00 90.00 120.00
Last column: nearest neighbours and their distance in Å.
Space group P3m1 (No. 156)
Symmetry-distinct sites (fractional):
Dy  0.0000  0.0000  0.0000  3 Ni 2.70
Er  0.3333  0.6667  0.4794  3 Ni 2.68
Ni  0.6667  0.3333  0.2432  3 Er 2.68, 3 Dy 2.70

For the energy above the most stable polymorph in this dataset, the calculation gives 130 meV per atom. The value obtained for the formation energy is -0.1717 eV/atom.

---

Compound: DyErNi
Source: Alexandria
Functional: PBE
Structure: relaxed

abc: 6.6671 6.6671 6.6671
angles: 90.00 90.00 90.00
Last column: nearest neighbours and their distance in Å.
Space group F-43m (No. 216)
Symmetry-distinct sites (fractional):
Dy  0.0000  0.0000  0.0000  4 Ni 2.89
Er  0.0000  0.0000  0.5000  4 Ni 2.89
Ni  0.2500  0.2500  0.2500  4 Dy 2.89, 4 Er 2.89

For the energy above the most stable polymorph in this dataset, the calculation gives 128 meV per atom. The value obtained for the formation energy is -0.1738 eV/atom.

---

Compound: Dy4ErNi2
Source: Alexandria
Functional: PBE
Structure: relaxed

abc: 7.4753 6.3510 7.9096
angles: 90.00 112.39 90.00
Last column: nearest neighbours and their distance in Å.
Space group P2_1/m (No. 11)
Symmetry-distinct sites (fractional):
Dy  0.0270  0.2500  0.3870  1 Ni 2.58
Dy  0.2498  0.7500  0.3434  2 Ni 2.70-2.77
Dy  0.4075  0.0048  0.7690  4 Ni 2.95-3.17, 2 Dy 3.11-3.24
Er  0.1511  0.2500  0.0292  2 Ni 2.85-2.95
Ni  0.2523  0.7500  0.9946  6 Dy 2.77-2.96, 1 Er 2.95
Ni  0.3816  0.2500  0.4106  2 Dy 2.58-2.70, 1 Er 2.85

The value obtained for the formation energy is -0.1527 eV/atom.

---

Compound: DyErNiOs
Source: Alexandria
Functional: PBE
Structure: relaxed

abc: 6.7580 6.7580 6.7580
angles: 90.00 90.00 90.00
Last column: nearest neighbours and their distance in Å.
Space group F-43m (No. 216)
Symmetry-distinct sites (fractional):
Dy  0.0000  0.0000  0.0000  4 Os 2.93, 4 Ni 2.93
Er  0.0000  0.0000  0.5000  4 Ni 2.93, 4 Os 2.93
Ni  0.2500  0.2500  0.2500  4 Dy 2.93, 4 Er 2.93
Os  0.2500  0.2500  0.7500  4 Dy 2.93, 4 Er 2.93

The value obtained for the formation energy is -0.3239 eV/atom.

---

Compound: DyErNi2P2
Source: Alexandria
Functional: PBE
Structure: relaxed

abc: 3.8755 3.8755 7.7344
angles: 90.00 90.00 120.00
Last column: nearest neighbours and their distance in Å.
Space group P-3m1 (No. 164)
Symmetry-distinct sites (fractional):
Dy  0.0000  0.0000  0.0000  6 Ni 2.97, 6 P 2.97
Er  0.0000  0.0000  0.5000  6 P 2.95, 6 Ni 2.95
Ni  0.3333  0.6667  0.7479  3 P 2.24
P  0.3333  0.6667  0.2522  3 Ni 2.24

The value obtained for the formation energy is -1.2214 eV/atom.